# 1
# ZnCr2Mo (PBEsol, relaxed)
data_ZnCr2Mo
_space_group_name_H-M_alt 'F -4 3 m'
_space_group_IT_number 216
_space_group_name_Hall 'F -4 2 3'
_cell_length_a 5.934
_cell_length_b 5.934
_cell_length_c 5.934
_cell_angle_alpha 90.00
_cell_angle_beta 90.00
_cell_angle_gamma 90.00
loop_
_atom_site_label
_atom_site_type_symbol
_atom_site_fract_x
_atom_site_fract_y
_atom_site_fract_z
Zn1 Zn 0.000 0.000 0.000
Cr1 Cr 0.000 0.000 0.500
Cr2 Cr 0.250 0.250 0.750
Mo1 Mo 0.250 0.250 0.250
# DOS(E_F) in states/eV/cell: 11.2
# ΔE_f in eV/atom: 0.33

=====

# 2
# Zn3CrMo (PBEsol, relaxed)
data_Zn3CrMo
_space_group_name_H-M_alt 'P m -3 m'
_space_group_IT_number 221
_space_group_name_Hall '-P 4 2 3'
_cell_length_a 4.428
_cell_length_b 4.428
_cell_length_c 4.428
_cell_angle_alpha 90.00
_cell_angle_beta 90.00
_cell_angle_gamma 90.00
loop_
_atom_site_label
_atom_site_type_symbol
_atom_site_fract_x
_atom_site_fract_y
_atom_site_fract_z
Zn1 Zn 0.000 0.000 0.500
Cr1 Cr 0.000 0.000 0.000
Mo1 Mo 0.500 0.500 0.500
# DOS(E_F) in states/eV/cell: 3.5
# ΔE_f in eV/atom: 1.47

=====

# 3
# ZnCr4Mo (PBEsol, relaxed)
data_ZnCr4Mo
_space_group_name_H-M_alt 'F -4 3 m'
_space_group_IT_number 216
_space_group_name_Hall 'F -4 2 3'
_cell_length_a 6.664
_cell_length_b 6.664
_cell_length_c 6.664
_cell_angle_alpha 90.00
_cell_angle_beta 90.00
_cell_angle_gamma 90.00
loop_
_atom_site_label
_atom_site_type_symbol
_atom_site_fract_x
_atom_site_fract_y
_atom_site_fract_z
Zn1 Zn 0.000 0.000 0.000
Cr1 Cr 0.126 0.126 0.374
Mo1 Mo 0.250 0.250 0.750
# DOS(E_F) in states/eV/cell: 8.9
# ΔE_f in eV/atom: 0.11

=====

# 4
# ZnCr2Mo (PBEsol, relaxed)
data_ZnCr2Mo
_space_group_name_H-M_alt 'I m m 2'
_space_group_IT_number 44
_space_group_name_Hall 'I 2 -2'
_cell_length_a 2.978
_cell_length_b 4.139
_cell_length_c 8.281
_cell_angle_alpha 90.00
_cell_angle_beta 90.00
_cell_angle_gamma 90.00
loop_
_atom_site_label
_atom_site_type_symbol
_atom_site_fract_x
_atom_site_fract_y
_atom_site_fract_z
Zn1 Zn 0.000 0.000 0.000
Cr1 Cr 0.000 0.000 0.481
Cr2 Cr 0.000 0.500 0.762
Mo1 Mo 0.000 0.500 0.227
# DOS(E_F) in states/eV/cell: 5.3
# ΔE_f in eV/atom: 0.20

=====

# 5
# ZnCr2Mo (PBEsol, relaxed)
data_ZnCr2Mo
_space_group_name_H-M_alt 'P m m m'
_space_group_IT_number 47
_space_group_name_Hall '-P 2 2'
_cell_length_a 2.467
_cell_length_b 3.994
_cell_length_c 5.238
_cell_angle_alpha 90.00
_cell_angle_beta 90.00
_cell_angle_gamma 90.00
loop_
_atom_site_label
_atom_site_type_symbol
_atom_site_fract_x
_atom_site_fract_y
_atom_site_fract_z
Zn1 Zn 0.000 0.000 0.000
Cr1 Cr 0.500 0.500 0.233
Mo1 Mo 0.000 0.000 0.500
# DOS(E_F) in states/eV/cell: 3.7
# ΔE_f in eV/atom: 0.34

=====

# 6
# ZrCr4Mo (PBEsol, relaxed)
data_ZrCr4Mo
_space_group_name_H-M_alt 'F -4 3 m'
_space_group_IT_number 216
_space_group_name_Hall 'F -4 2 3'
_cell_length_a 6.882
_cell_length_b 6.882
_cell_length_c 6.882
_cell_angle_alpha 90.00
_cell_angle_beta 90.00
_cell_angle_gamma 90.00
loop_
_atom_site_label
_atom_site_type_symbol
_atom_site_fract_x
_atom_site_fract_y
_atom_site_fract_z
Zr1 Zr 0.000 0.000 0.000
Cr1 Cr 0.124 0.124 0.376
Mo1 Mo 0.250 0.250 0.750
# DOS(E_F) in states/eV/cell: 23.7
# ΔE_f in eV/atom: 0.04

=====

# 7
# Zr2CrMo (PBEsol, relaxed)
data_Zr2CrMo
_space_group_name_H-M_alt 'P m m m'
_space_group_IT_number 47
_space_group_name_Hall '-P 2 2'
_cell_length_a 3.258
_cell_length_b 4.328
_cell_length_c 4.805
_cell_angle_alpha 90.00
_cell_angle_beta 90.00
_cell_angle_gamma 90.00
loop_
_atom_site_label
_atom_site_type_symbol
_atom_site_fract_x
_atom_site_fract_y
_atom_site_fract_z
Zr1 Zr 0.000 0.000 0.000
Zr2 Zr 0.500 0.000 0.500
Cr1 Cr 0.000 0.500 0.500
Mo1 Mo 0.500 0.500 0.000
# DOS(E_F) in states/eV/cell: 5.3
# ΔE_f in eV/atom: 0.29

=====

# 8
# ZrCrMo (PBEsol, relaxed)
data_ZrCrMo
_space_group_name_H-M_alt 'F -4 3 m'
_space_group_IT_number 216
_space_group_name_Hall 'F -4 2 3'
_cell_length_a 6.056
_cell_length_b 6.056
_cell_length_c 6.056
_cell_angle_alpha 90.00
_cell_angle_beta 90.00
_cell_angle_gamma 90.00
loop_
_atom_site_label
_atom_site_type_symbol
_atom_site_fract_x
_atom_site_fract_y
_atom_site_fract_z
Zr1 Zr 0.000 0.000 0.000
Cr1 Cr 0.000 0.000 0.500
Mo1 Mo 0.250 0.250 0.750
# DOS(E_F) in states/eV/cell: 9.8
# ΔE_f in eV/atom: 0.86

=====

# 9
# ZrCr2Mo (PBEsol, relaxed)
data_ZrCr2Mo
_space_group_name_H-M_alt 'C 1 2/m 1'
_space_group_IT_number 12
_space_group_name_Hall '-C 2y'
_cell_length_a 5.364
_cell_length_b 8.340
_cell_length_c 2.772
_cell_angle_alpha 90.00
_cell_angle_beta 110.66
_cell_angle_gamma 90.00
loop_
_atom_site_label
_atom_site_type_symbol
_atom_site_fract_x
_atom_site_fract_y
_atom_site_fract_z
Zr1 Zr 0.000 0.000 0.000
Cr1 Cr 0.250 0.250 0.500
Mo1 Mo 0.000 0.500 0.000
# DOS(E_F) in states/eV/cell: 7.1
# ΔE_f in eV/atom: 0.29

=====

# 10
# ZrCrMo (PBEsol, relaxed)
data_ZrCrMo
_space_group_name_H-M_alt 'I m m a'
_space_group_IT_number 74
_space_group_name_Hall '-I 2b 2'
_cell_length_a 5.122
_cell_length_b 5.226
_cell_length_c 7.254
_cell_angle_alpha 90.00
_cell_angle_beta 90.00
_cell_angle_gamma 90.00
loop_
_atom_site_label
_atom_site_type_symbol
_atom_site_fract_x
_atom_site_fract_y
_atom_site_fract_z
Zr1 Zr 0.000 0.250 0.123
Cr1 Cr 0.250 0.250 0.750
Mo1 Mo 0.000 0.000 0.500
# DOS(E_F) in states/eV/cell: 6.9
# ΔE_f in eV/atom: -0.06

=====

# 11
# ZrCrMo (PBEsol, relaxed)
data_ZrCrMo
_space_group_name_H-M_alt 'P 3 m 1'
_space_group_IT_number 156
_space_group_name_Hall 'P 3 -2"'
_cell_length_a 4.3234
_cell_length_b 4.3234
_cell_length_c 2.9073
_cell_angle_alpha 90.00
_cell_angle_beta 90.00
_cell_angle_gamma 120.00
loop_
_atom_site_label
_atom_site_type_symbol
_atom_site_fract_x
_atom_site_fract_y
_atom_site_fract_z
Zr1 Zr 0.0000 0.0000 0.0000
Cr1 Cr 0.3333 0.6667 0.6415
Mo1 Mo 0.6667 0.3333 0.3566
# DOS(E_F) in states/eV/cell: 3.2
# ΔE_f in eV/atom: 0.22

=====

# 12
# Zr2CrMo (PBEsol, relaxed)
data_Zr2CrMo
_space_group_name_H-M_alt 'P 1 2/m 1'
_space_group_IT_number 10
_space_group_name_Hall '-P 2y'
_cell_length_a 2.901
_cell_length_b 4.331
_cell_length_c 5.438
_cell_angle_alpha 90.00
_cell_angle_beta 97.77
_cell_angle_gamma 90.00
loop_
_atom_site_label
_atom_site_type_symbol
_atom_site_fract_x
_atom_site_fract_y
_atom_site_fract_z
Zr1 Zr 0.249 0.000 0.255
Cr1 Cr 0.000 0.500 0.500
Mo1 Mo 0.500 0.500 0.000
# DOS(E_F) in states/eV/cell: 5.1
# ΔE_f in eV/atom: 0.29

=====

# 13
# ZrCrMo (PBEsol, relaxed)
data_ZrCrMo
_space_group_name_H-M_alt 'F -4 3 m'
_space_group_IT_number 216
_space_group_name_Hall 'F -4 2 3'
_cell_length_a 6.152
_cell_length_b 6.152
_cell_length_c 6.152
_cell_angle_alpha 90.00
_cell_angle_beta 90.00
_cell_angle_gamma 90.00
loop_
_atom_site_label
_atom_site_type_symbol
_atom_site_fract_x
_atom_site_fract_y
_atom_site_fract_z
Zr1 Zr 0.000 0.000 0.000
Cr1 Cr 0.250 0.250 0.750
Mo1 Mo 0.250 0.250 0.250
# DOS(E_F) in states/eV/cell: 15.8
# ΔE_f in eV/atom: 1.41

=====

Calculated calculated density in order - 8433; 6580; 8288; 8632; 8537; 8051; 8097; 7151; 8333; 8183; 8438; 8102; 6823 kg/m³